No. 1
A plane-wave DFT calculation with GGA-PBE was carried out for a relaxed NaZrSnC2 crystal.

POSCAR file:
```
NaZrSnC2
1.0
4.452 0.000 0.000
0.000 4.452 0.000
0.000 0.000 5.666
Na Zr Sn C
1 1 1 2
Cartesian
0.000 0.000 0.000
2.226 2.226 2.833
2.226 2.226 0.000
0.000 2.226 2.833
2.226 0.000 2.833
```

Results
The raw total energy comes out at -25.64 eV for the cell shown.

No. 2
A plane-wave DFT calculation with GGA-PBE was carried out for a relaxed NaSrC3 crystal.

POSCAR file:
```
NaSrC3
1.0
4.389 0.000 0.000
0.000 4.389 0.000
0.000 0.000 4.389
Na Sr C
1 1 3
Cartesian
0.000 0.000 0.000
2.194 2.194 2.194
0.000 0.000 2.194
0.000 2.194 0.000
2.194 0.000 0.000
```

Results
The raw total energy comes out at -17.01 eV for the cell shown. As for the energy above the most stable polymorph in this dataset: 0 meV/atom.

No. 3
A plane-wave DFT calculation with GGA-PBE was carried out for a relaxed Na2SrC crystal.

POSCAR file:
```
Na2SrC
1.0
-2.055 2.055 12.181
2.055 -2.055 12.181
2.055 2.055 -12.181
Na Sr C
4 2 2
Cartesian
1.027 0.896 -3.045
1.158 -1.027 15.226
1.027 1.158 9.135
0.896 3.082 3.045
2.055 0.000 6.090
0.000 0.000 12.181
0.000 0.000 0.000
0.000 2.055 6.090
```

Results
The raw total energy comes out at -19.35 eV for the cell shown.

No. 4
A plane-wave DFT calculation with GGA-PBE was carried out for a relaxed NaSrC3 crystal.

POSCAR file:
```
NaSrC3
1.0
5.358 0.000 0.000
0.000 5.358 0.000
0.000 0.000 5.358
Na Sr C
1 1 3
Cartesian
0.000 0.000 0.000
2.679 2.679 2.679
0.000 2.679 2.679
2.679 0.000 2.679
2.679 2.679 0.000
```

Results
The raw total energy comes out at -15.34 eV for the cell shown. As for the energy above the most stable polymorph in this dataset: 334 meV/atom.

Number 1: M_tot 0.0 μB/f.u.. Number 2: M_tot 0.0 μB/f.u.. Number 3: M_tot 1.2 μB/f.u.. Number 4: M_tot 8.7 μB/f.u..